A plane-wave DFT calculation with PBE-GGA was carried out for an optimized crystal structure of Rb2Tl6PtAu.

ΔH_f (0 K) (eV/atom): -0.07
Density of states at the Fermi level (states/eV/f.u.): 4.48
Electronic total energy (eV per atom): -2.614

a b c (Å): 8.481 8.481 12.762
angles (deg): 70.59 70.59 60.00
Fractional positions:
Rb  0.856  0.856  0.431
Rb  0.144  0.144  0.569
Rb  0.707  0.707  0.878
Rb  0.293  0.293  0.122
Tl  0.848  0.401  0.350
Tl  0.401  0.848  0.350
Tl  0.401  0.401  0.350
Tl  0.152  0.599  0.650
Tl  0.599  0.152  0.650
Tl  0.599  0.599  0.650
Tl  0.770  0.193  0.844
Tl  0.193  0.770  0.844
Tl  0.193  0.193  0.844
Tl  0.230  0.807  0.156
Tl  0.807  0.230  0.156
Tl  0.807  0.807  0.156
Pt  0.000  0.000  0.000
Pt  0.500  0.500  0.500
Au  0.612  0.612  0.163
Au  0.388  0.388  0.837

***

A plane-wave DFT calculation with PBE-GGA was carried out for an optimized crystal structure of GaCu2MoH.

Density of states at the Fermi level (states/eV/f.u.): 1.55
Electronic total energy (eV per atom): -5.067

a b c (Å): 3.776 3.776 4.011
angles (deg): 90.00 90.00 90.00
Fractional positions:
H  0.000  0.000  0.000
Mo  0.000  0.000  0.500
Cu  0.000  0.500  0.000
Cu  0.500  0.000  0.000
Ga  0.500  0.500  0.500

***

A plane-wave DFT calculation with PBE-GGA was carried out for an optimized crystal structure of HoTlCuF6.

Electronic total energy (eV per atom): -5.190
Uncorrected formation energy (eV/atom): -2.715

a b c (Å): 5.692 5.692 5.940
angles (deg): 89.02 90.98 62.91
Each line ends with the local moment (μB).
Fractional positions:
Ho  0.675  0.675  0.500  0.00
Tl  0.004  0.004  0.000  0.01
Cu  0.336  0.336  0.500  0.72
F  0.023  0.373  0.334  0.06
F  0.373  0.023  0.666  0.06
F  0.612  0.359  0.681  0.07
F  0.975  0.643  0.732  0.00
F  0.359  0.612  0.319  0.07
F  0.643  0.975  0.268  0.00

***

A plane-wave DFT calculation with PBE-GGA was carried out for an optimized crystal structure of Hf4Re.

ΔH_f (0 K) (eV/atom): 0.67
Density of states at the Fermi level (states/eV/f.u.): 7.70
Electronic total energy (eV per atom): -9.783
Energy above the lowest structure with this stoichiometry (eV per atom): 0.420

a b c (Å): 5.004 5.004 5.004
angles (deg): 90.00 90.00 90.00
Fractional positions:
Re  0.500  0.500  0.500
Hf  0.000  0.000  0.000
Hf  0.500  0.000  0.500
Hf  0.000  0.500  0.500
Hf  0.500  0.500  0.000

***

A plane-wave DFT calculation with PBE-GGA was carried out for an optimized crystal structure of NiOs.

ΔH_f (0 K) (eV/atom): 0.08
Density of states at the Fermi level (states/eV/f.u.): 1.77
Electronic total energy (eV per atom): -8.423

a b c (Å): 2.690 5.148 3.689
angles (deg): 90.00 90.00 90.00
Fractional positions:
Ni  0.000  0.887  0.500
Ni  0.500  0.113  0.000
Os  0.000  0.377  0.500
Os  0.500  0.623  0.000

***

A plane-wave DFT calculation with PBE-GGA was carried out for an optimized crystal structure of RbCuAsIr2.

ΔH_f (0 K) (eV/atom): 0.72
Density of states at the Fermi level (states/eV/f.u.): 2.32
Electronic total energy (eV per atom): -4.771

a b c (Å): 4.695 4.923 4.695
angles (deg): 90.00 90.00 90.00
Fractional positions:
As  0.000  0.000  0.000
Ir  0.000  0.000  0.500
Ir  0.500  0.000  0.000
Cu  0.000  0.500  0.000
Rb  0.500  0.500  0.500

***

A plane-wave DFT calculation with PBE-GGA was carried out for an optimized crystal structure of LaRh3.

ΔH_f (0 K) (eV/atom): -0.33
Density of states at the Fermi level (states/eV/f.u.): 3.26
Electronic total energy (eV per atom): -7.073

a b c (Å): 4.637 6.014 6.014
angles (deg): 120.01 90.00 90.00
Fractional positions:
Rh  0.750  0.848  0.696
Rh  0.750  0.304  0.152
Rh  0.750  0.848  0.152
Rh  0.250  0.152  0.848
Rh  0.250  0.696  0.848
Rh  0.250  0.152  0.304
La  0.750  0.333  0.667
La  0.250  0.667  0.333

***

A plane-wave DFT calculation with PBE-GGA was carried out for an optimized crystal structure of Pr2SnBi6.

ΔH_f (0 K) (eV/atom): -0.40
Density of states at the Fermi level (states/eV/f.u.): 4.39
Electronic total energy (eV per atom): -4.496
Energy above the lowest structure with this stoichiometry (eV per atom): 0.000

a b c (Å): 4.563 8.402 8.745
angles (deg): 116.24 105.12 90.00
Fractional positions:
Pr  0.944  0.184  0.888
Pr  0.056  0.816  0.112
Sn  0.500  0.500  0.000
Bi  0.405  0.844  0.811
Bi  0.595  0.156  0.189
Bi  0.716  0.829  0.433
Bi  0.164  0.532  0.327
Bi  0.284  0.171  0.567
Bi  0.836  0.468  0.673

***

A plane-wave DFT calculation with PBE-GGA was carried out for an optimized crystal structure of ScReMoIr2.

ΔH_f (0 K) (eV/atom): 1.37
Density of states at the Fermi level (states/eV/f.u.): 4.48
Electronic total energy (eV per atom): -8.095

a b c (Å): 4.743 4.802 4.743
angles (deg): 90.00 90.00 90.00
Each line ends with the local moment (μB).
Fractional positions:
Sc  0.000  0.500  0.000  0.02
Re  0.000  0.000  0.000  0.01
Mo  0.500  0.500  0.500  2.99
Ir  0.000  0.000  0.500  -0.07
Ir  0.500  0.000  0.000  0.03

***

A plane-wave DFT calculation with PBE-GGA was carried out for an optimized crystal structure of NpPtC.

ΔH_f (0 K) (eV/atom): 0.14
Density of states at the Fermi level (states/eV/f.u.): 8.44
Electronic total energy (eV per atom): -9.264

a b c (Å): 4.175 4.175 7.566
angles (deg): 73.99 73.99 60.00
Each line ends with the local moment (μB).
Fractional positions:
C  0.291  0.291  0.128  -0.12
C  0.709  0.709  0.872  -0.12
Pt  0.194  0.194  0.417  -0.06
Pt  0.806  0.806  0.583  -0.06
Np  0.394  0.394  0.818  2.81
Np  0.606  0.606  0.182  2.81

***

A plane-wave DFT calculation with PBE-GGA was carried out for an optimized crystal structure of RbCuN.

Density of states at the Fermi level (states/eV/f.u.): 2.88
Electronic total energy (eV per atom): -3.994
Uncorrected formation energy (eV/atom): 0.469

a b c (Å): 3.647 3.647 10.082
angles (deg): 90.00 90.00 90.00
Fractional positions:
Cu  0.000  0.000  0.500
Cu  0.500  0.500  0.500
Rb  0.000  0.500  0.769
Rb  0.500  0.000  0.231
N  0.000  0.500  0.407
N  0.500  0.000  0.593

***

A plane-wave DFT calculation with PBE-GGA was carried out for an optimized crystal structure of RbPd6Se2.

Density of states at the Fermi level (states/eV/f.u.): 10.78
Electronic total energy (eV per atom): -4.659
Uncorrected formation energy (eV/atom): -0.316

a b c (Å): 4.122 4.122 10.664
angles (deg): 90.00 90.00 90.00
Fractional positions:
Rb  0.000  0.000  0.000
Pd  0.000  0.500  0.320
Pd  0.500  0.000  0.320
Pd  0.000  0.500  0.680
Pd  0.500  0.000  0.680
Pd  0.500  0.500  0.500
Pd  0.000  0.000  0.500
Se  0.500  0.500  0.188
Se  0.500  0.500  0.812

***

A plane-wave DFT calculation with PBE-GGA was carried out for an optimized crystal structure of PaCuAu2.

ΔH_f (0 K) (eV/atom): -0.28
Density of states at the Fermi level (states/eV/f.u.): 3.90
Electronic total energy (eV per atom): -5.314
Energy above the lowest structure with this stoichiometry (eV per atom): 0.034

a b c (Å): 5.180 6.769 9.039
angles (deg): 90.00 90.00 90.00
Fractional positions:
Pa  0.307  0.250  0.076
Pa  0.807  0.750  0.424
Pa  0.693  0.750  0.924
Pa  0.193  0.250  0.576
Cu  0.677  0.250  0.409
Cu  0.177  0.750  0.091
Cu  0.323  0.750  0.591
Cu  0.823  0.250  0.909
Au  0.805  0.034  0.168
Au  0.305  0.966  0.332
Au  0.195  0.534  0.832
Au  0.695  0.466  0.668
Au  0.195  0.966  0.832
Au  0.695  0.034  0.668
Au  0.805  0.466  0.168
Au  0.305  0.534  0.332

***

A plane-wave DFT calculation with PBE-GGA was carried out for an optimized crystal structure of AcErN.

Density of states at the Fermi level (states/eV/f.u.): 2.58
Electronic total energy (eV per atom): -6.286
Energy above the lowest structure with this stoichiometry (eV per atom): 0.201
Uncorrected formation energy (eV/atom): -0.621

a b c (Å): 3.582 3.582 7.296
angles (deg): 104.21 104.21 90.00
Fractional positions:
Ac  0.037  0.037  0.073
N  0.484  0.484  0.967
Er  0.330  0.330  0.659

***

A plane-wave DFT calculation with PBE-GGA was carried out for an optimized crystal structure of LaHo3Sc6.

ΔH_f (0 K) (eV/atom): 0.22
Density of states at the Fermi level (states/eV/f.u.): 17.88
Electronic total energy (eV per atom): -5.449
Energy above the lowest structure with this stoichiometry (eV per atom): 0.000

a b c (Å): 6.594 9.312 9.312
angles (deg): 95.99 90.00 90.00
Fractional positions:
La  0.036  0.189  0.811
La  0.536  0.811  0.189
Ho  0.489  0.826  0.744
Ho  0.989  0.744  0.826
Ho  0.202  0.410  0.590
Ho  0.702  0.590  0.410
Ho  0.989  0.174  0.256
Ho  0.489  0.256  0.174
Sc  0.182  0.732  0.497
Sc  0.682  0.497  0.732
Sc  0.315  0.526  0.952
Sc  0.815  0.952  0.526
Sc  0.255  0.994  0.006
Sc  0.521  0.203  0.797
Sc  0.021  0.797  0.203
Sc  0.755  0.006  0.994
Sc  0.315  0.048  0.474
Sc  0.815  0.474  0.048
Sc  0.182  0.503  0.268
Sc  0.682  0.268  0.503